1.
Here is crystalline Tl2CdIrO6 at its relaxed geometry from Alexandria. Energies are from PBE-GGA.

Unit cell a=5.657 b=5.746 c=8.375 alpha=90.00 beta=89.71 gamma=90.00
Site moments in Bohr magnetons follow the coordinates.
Positions (direct):
Tl (0.021, 0.954, 0.259)  -0.01
Tl (0.521, 0.546, 0.759)  -0.01
Tl (0.979, 0.046, 0.741)  -0.01
Tl (0.479, 0.454, 0.241)  -0.01
Cd (0.500, 0.000, 0.000)  0.01
Cd (0.000, 0.500, 0.500)  0.01
Ir (0.500, 0.000, 0.500)  0.62
Ir (0.000, 0.500, 0.000)  0.62
O (0.276, 0.691, 0.061)  0.05
O (0.776, 0.809, 0.561)  0.05
O (0.724, 0.309, 0.939)  0.05
O (0.224, 0.191, 0.439)  0.05
O (0.320, 0.729, 0.418)  0.06
O (0.820, 0.771, 0.918)  0.06
O (0.680, 0.271, 0.582)  0.06
O (0.180, 0.229, 0.082)  0.06
O (0.874, 0.569, 0.218)  0.04
O (0.374, 0.931, 0.718)  0.04
O (0.126, 0.431, 0.782)  0.04
O (0.626, 0.069, 0.282)  0.04

DOS(E_F) ... 4.66 states/eV/f.u.
E_form (uncorrected) ... -758 meV per atom
Space group ... No. 14
Magnetic moment ... 1.982 Bohr magnetons per cell

***

2.
Here is crystalline Tl2CdIrO8 at its relaxed geometry from Alexandria. Energies are from PBE-GGA.

Unit cell a=5.077 b=4.855 c=6.888 alpha=90.00 beta=90.00 gamma=93.48
Site moments in Bohr magnetons follow the coordinates.
Positions (direct):
Tl (0.500, 0.500, 0.749)  0.00
Tl (0.500, 0.500, 0.251)  0.00
Cd (0.000, 0.000, 0.500)  0.00
Ir (0.000, 0.000, 0.000)  0.14
O (0.141, 0.787, 0.199)  0.04
O (0.680, 0.757, 0.000)  -0.01
O (0.859, 0.213, 0.199)  0.04
O (0.859, 0.213, 0.801)  0.04
O (0.320, 0.243, 0.000)  -0.01
O (0.141, 0.787, 0.801)  0.04
O (0.662, 0.734, 0.500)  0.00
O (0.338, 0.266, 0.500)  0.00

DOS(E_F) ... 5.50 states/eV/f.u.
E_form (uncorrected) ... -518 meV per atom
Space group ... No. 10
Magnetic moment ... 0.347 Bohr magnetons per cell

***

3.
Here is crystalline TlCdIrO6 at its relaxed geometry from Alexandria. Energies are from PBE-GGA.

Unit cell a=5.626 b=5.626 c=8.971 alpha=90.00 beta=90.00 gamma=120.00
Positions (direct):
Tl (0.333, 0.667, 0.250)
Tl (0.667, 0.333, 0.750)
Cd (0.000, 0.000, 0.000)
Cd (0.000, 0.000, 0.500)
Ir (0.667, 0.333, 0.250)
Ir (0.333, 0.667, 0.750)
O (0.665, 0.614, 0.130)
O (0.950, 0.335, 0.130)
O (0.335, 0.950, 0.630)
O (0.050, 0.665, 0.870)
O (0.386, 0.335, 0.370)
O (0.950, 0.614, 0.370)
O (0.614, 0.950, 0.870)
O (0.665, 0.050, 0.370)
O (0.050, 0.386, 0.630)
O (0.386, 0.050, 0.130)
O (0.614, 0.665, 0.630)
O (0.335, 0.386, 0.870)

DOS(E_F) ... 4.02 states/eV/f.u.
E_form (uncorrected) ... -592 meV per atom
Space group ... No. 163
Magnetic moment ... 0.000 Bohr magnetons per cell